Computed, not measured: AlFeMo2 after structural relaxation at the PBE level of DFT.

Geometry as CIF:
```
data_AlFeMo2
_chemical_formula_sum 'Al4 Fe4 Mo8'
_symmetry_space_group_name_H-M 'I -4 2 d'
_symmetry_Int_Tables_number 122
_symmetry_space_group_name_Hall 'I -4 2bw'
_cell_length_a 6.9324
_cell_length_b 6.9324
_cell_length_c 5.1386
_cell_angle_alpha 90.00
_cell_angle_beta 90.00
_cell_angle_gamma 90.00
loop_
_atom_site_label
_atom_site_type_symbol
_atom_site_fract_x
_atom_site_fract_y
_atom_site_fract_z
_atom_site_occupancy
Al1 Al 0.0000 0.0000 0.0000 1
Fe1 Fe 0.0000 0.0000 0.5000 1
Mo1 Mo 0.2096 0.2500 0.6250 1
```

Computed properties:
Formation energy from the elements = 449 meV per atom
Fermi-level density of states = 16.1 states/eV per cell



Computed, not measured: AlFe6Mo after structural relaxation at the PBE level of DFT.

Geometry as CIF:
```
data_AlFe6Mo
_chemical_formula_sum 'Al8 Fe48 Mo8'
_symmetry_space_group_name_H-M 'C m m m'
_symmetry_Int_Tables_number 65
_symmetry_space_group_name_Hall '-C 2 2'
_cell_length_a 7.3015
_cell_length_b 10.2925
_cell_length_c 10.2784
_cell_angle_alpha 90.00
_cell_angle_beta 90.00
_cell_angle_gamma 90.00
loop_
_atom_site_label
_atom_site_type_symbol
_atom_site_fract_x
_atom_site_fract_y
_atom_site_fract_z
_atom_site_occupancy
Al1 Al 0.0000 0.0000 0.2464 1
Al2 Al 0.0000 0.2534 0.5000 1
Fe1 Fe 0.0000 0.0000 0.0000 1
Fe2 Fe 0.0000 0.0000 0.5000 1
Fe3 Fe 0.0000 0.2495 0.2515 1
Fe4 Fe 0.0000 0.5000 0.0000 1
Fe5 Fe 0.0000 0.5000 0.5000 1
Fe6 Fe 0.2453 0.1261 0.3760 1
Fe7 Fe 0.2496 0.1241 0.1243 1
Mo1 Mo 0.0000 0.2533 0.0000 1
Mo2 Mo 0.0000 0.5000 0.2453 1
```

Computed properties:
Formation energy from the elements = -28 meV per atom
Fermi-level density of states = 62.6 states/eV per cell



Computed, not measured: AlFeMo2 after structural relaxation at the PBE level of DFT.

Geometry as CIF:
```
data_AlFeMo2
_chemical_formula_sum 'Al2 Fe2 Mo4'
_symmetry_space_group_name_H-M 'C 1 2/m 1'
_symmetry_Int_Tables_number 12
_symmetry_space_group_name_Hall '-C 2y'
_cell_length_a 5.2473
_cell_length_b 8.5644
_cell_length_c 2.6816
_cell_angle_alpha 90.00
_cell_angle_beta 104.54
_cell_angle_gamma 90.00
loop_
_atom_site_label
_atom_site_type_symbol
_atom_site_fract_x
_atom_site_fract_y
_atom_site_fract_z
_atom_site_occupancy
Al1 Al 0.0000 0.0000 0.0000 1
Fe1 Fe 0.0000 0.5000 0.0000 1
Mo1 Mo 0.2500 0.2500 0.5000 1
```

Computed properties:
Formation energy from the elements = -13 meV per atom
Fermi-level density of states = 6.2 states/eV per cell



Computed, not measured: Al2Fe2Mo after structural relaxation at the PBE level of DFT.

Geometry as CIF:
```
data_Al2Fe2Mo
_chemical_formula_sum 'Al4 Fe4 Mo2'
_symmetry_space_group_name_H-M 'P 4/m b m'
_symmetry_Int_Tables_number 127
_symmetry_space_group_name_Hall '-P 4 2ab'
_cell_length_a 7.0788
_cell_length_b 7.0788
_cell_length_c 2.6658
_cell_angle_alpha 90.00
_cell_angle_beta 90.00
_cell_angle_gamma 90.00
loop_
_atom_site_label
_atom_site_type_symbol
_atom_site_fract_x
_atom_site_fract_y
_atom_site_fract_z
_atom_site_occupancy
Al1 Al 0.1369 0.3631 0.0000 1
Fe1 Fe 0.1585 0.6585 0.5000 1
Mo1 Mo 0.0000 0.0000 0.0000 1
```

Computed properties:
Formation energy from the elements = -51 meV per atom
Fermi-level density of states = 12.3 states/eV per cell



Q: Which formula does entry 4 have?
A: Al2Fe2Mo



Q: Which of these has the lowest formation energy from the elements?
A: Al2Fe2Mo



Q: What is the Fermi-level density of states in the first record?
A: 16.1 states/eV per cell